First-principles (PBE+U) data for ZnFeSnF6 after structural relaxation, as listed in the Alexandria database.

Raw total energy (eV/cell): -43.2
M_tot (μB per cell): 4.0
DOS(E_F) (states/eV/f.u.): 0.0
SG: C2

Geometry as POSCAR:
```
ZnFeSnF6
1.0
-2.003 -1.409 -4.946
-3.807 -3.964 -0.487
-3.713 3.517 0.489
Sn F Fe Zn
1 6 1 1
Cartesian
-9.488 -1.824 -4.911
-5.292 0.230 -2.971
-5.161 -0.009 0.019
-4.479 -1.831 -4.981
-2.327 0.035 -3.060
-4.178 -2.036 -1.921
-7.166 -1.989 -1.949
-5.721 -1.815 -3.370
-3.803 -0.042 -1.576
```